(1)
A plane-wave DFT calculation with GGA-PBE was carried out for HfH2Rh2 after structural relaxation.

Output
symmetry: P4/mbm (127)
calculated density: 11.0 g cm⁻³
VASP energy: -6.620 eV/atom
crystal system: tetragonal

Cell: 6.089 6.089 3.134 Å, 90.00 90.00 90.00°
Atoms (fractional coordinates):
Hf  0.000  0.000  0.000
Hf  0.500  0.500  0.000
H  0.250  0.250  0.000
H  0.250  0.750  0.000
H  0.750  0.250  0.000
H  0.750  0.750  0.000
Rh  0.154  0.346  0.500
Rh  0.346  0.846  0.500
Rh  0.654  0.154  0.500
Rh  0.846  0.654  0.500

(2)
A plane-wave DFT calculation with GGA-PBE was carried out for LaYInRh2 after structural relaxation.

Output
symmetry: P4/mmm (123)
calculated density: 6.5 g cm⁻³
VASP energy: -5.484 eV/atom
ΔH_f (0 K): 282 meV per atom
crystal system: tetragonal

Cell: 4.982 4.982 5.602 Å, 90.00 90.00 90.00°
Atoms (fractional coordinates):
La  0.000  0.000  0.000
Y  0.500  0.500  0.500
In  0.500  0.500  0.000
Rh  0.000  0.500  0.500
Rh  0.500  0.000  0.500

(3)
A plane-wave DFT calculation with GGA-PBE was carried out for PrDyIr after structural relaxation.

Output
symmetry: P3m1 (156)
calculated density: 8.6 g cm⁻³
VASP energy: -6.583 eV/atom
ΔH_f (0 K): -502 meV per atom
crystal system: trigonal

Cell: 4.186 4.186 6.295 Å, 90.00 90.00 120.00°
Atoms (fractional coordinates):
Pr  0.000  0.000  0.000
Dy  0.667  0.333  0.543
Ir  0.333  0.667  0.757

(4)
A plane-wave DFT calculation with GGA-PBE was carried out for Th2Sn4Hg after structural relaxation.

Output
symmetry: P-4m2 (115)
calculated density: 9.3 g cm⁻³
VASP energy: -4.800 eV/atom
ΔH_f (0 K): -350 meV per atom
crystal system: tetragonal

Cell: 4.511 4.511 9.978 Å, 90.00 90.00 90.00°
Atoms (fractional coordinates):
Th  0.000  0.500  0.246
Th  0.500  0.000  0.754
Sn  0.000  0.000  0.500
Sn  0.000  0.500  0.810
Sn  0.500  0.000  0.190
Sn  0.500  0.500  0.500
Hg  0.500  0.500  0.000

Repeat the third record exactly.
A plane-wave DFT calculation with GGA-PBE was carried out for PrDyIr after structural relaxation.

Output
symmetry: P3m1 (156)
calculated density: 8.6 g cm⁻³
VASP energy: -6.583 eV/atom
ΔH_f (0 K): -502 meV per atom
crystal system: trigonal

Cell: 4.186 4.186 6.295 Å, 90.00 90.00 120.00°
Atoms (fractional coordinates):
Pr  0.000  0.000  0.000
Dy  0.667  0.333  0.543
Ir  0.333  0.667  0.757

Which value of calculated density does entry 4 give?
9.3 g cm⁻³